*w*
Density functional theory data (PBE-GGA) for TbZr2Ga6 after structural relaxation.

## Properties
calculated volume: 170.3 Å³/f.u.
symmetry: P6/mmm

a b c (Å): 3.7760 7.2166 7.2166
angles (deg): 120.00 90.00 90.00
Fractional coordinates of all 9 atoms:
Tb (0.0000, 0.0000, 0.0000)
Zr (0.0000, 0.3333, 0.6667)
Zr (0.0000, 0.6667, 0.3333)
Ga (0.5000, 0.3359, 0.3359)
Ga (0.5000, 0.6641, 0.6641)
Ga (0.5000, 0.0000, 0.6641)
Ga (0.5000, 0.6641, 0.0000)
Ga (0.5000, 0.3359, 0.0000)
Ga (0.5000, 0.0000, 0.3359)


*x*
Density functional theory data (PBE-GGA) for TbZr2Ga6 after structural relaxation.

## Properties
calculated volume: 182.6 Å³/f.u.
symmetry: Immm

a b c (Å): 4.1632 7.5999 7.5999
angles (deg): 52.90 74.10 74.10
Fractional coordinates of all 9 atoms:
Tb (0.0000, 0.0000, 0.0000)
Zr (0.8801, 0.6199, 0.6199)
Zr (0.1199, 0.3801, 0.3801)
Ga (0.6896, 0.0138, 0.6070)
Ga (0.3104, 0.9862, 0.3930)
Ga (0.3104, 0.3930, 0.9862)
Ga (0.5000, 0.6872, 0.3128)
Ga (0.5000, 0.3128, 0.6872)
Ga (0.6896, 0.6070, 0.0138)


Bottom line: *w*, by a margin of 9.2 kJ/mol of atoms.


*w*
Density functional theory data (PBE-GGA) for TbZr2Ga after structural relaxation.

## Properties
calculated volume: 95.2 Å³/f.u.
symmetry: R-3m

a b c (Å): 3.1458 3.1458 11.2503
angles (deg): 81.96 81.96 60.00
Fractional coordinates of all 4 atoms:
Tb (0.0000, 0.0000, 0.0000)
Ga (0.5000, 0.5000, 0.5000)
Zr (0.0962, 0.0962, 0.7115)
Zr (0.9038, 0.9038, 0.2885)


*x*
Density functional theory data (PBE-GGA) for TbZr2Ga after structural relaxation.

## Properties
calculated volume: 94.1 Å³/f.u.
symmetry: Cm

a b c (Å): 3.3122 3.3122 10.0706
angles (deg): 80.64 80.64 60.08
Fractional coordinates of all 4 atoms:
Tb (0.5001, 0.5001, 0.5004)
Zr (0.0757, 0.0757, 0.7748)
Zr (0.2580, 0.2580, 0.2246)
Ga (0.6662, 0.6662, 0.0002)


*y*
Density functional theory data (PBE-GGA) for TbZr2Ga after structural relaxation.

## Properties
calculated volume: 95.4 Å³/f.u.
symmetry: P2_1/m

a b c (Å): 4.2603 4.3524 10.5141
angles (deg): 101.92 90.00 90.00
Fractional coordinates of all 8 atoms:
Tb (0.2500, 0.3063, 0.6118)
Tb (0.7500, 0.6937, 0.3882)
Zr (0.7500, 0.4414, 0.8829)
Zr (0.2500, 0.5586, 0.1171)
Zr (0.2500, 0.9436, 0.8874)
Zr (0.7500, 0.0564, 0.1126)
Ga (0.7500, 0.8421, 0.6834)
Ga (0.2500, 0.1579, 0.3166)


*z*
Density functional theory data (PBE-GGA) for TbZr2Ga after structural relaxation.

## Properties
calculated volume: 91.8 Å³/f.u.
symmetry: P4/mmm

a b c (Å): 3.2331 3.2331 8.7779
angles (deg): 90.00 90.00 90.00
Fractional coordinates of all 4 atoms:
Tb (0.5000, 0.5000, 0.5000)
Ga (0.5000, 0.5000, 0.0000)
Zr (0.0000, 0.0000, 0.7890)
Zr (0.0000, 0.0000, 0.2110)


Bottom line: *y*, by a margin of 13.8 kJ/mol of atoms.


*w*
Density functional theory data (PBE-GGA) for TbZrGa4 after structural relaxation.

## Properties
calculated volume: 116.5 Å³/f.u.
symmetry: Immm

a b c (Å): 4.1779 5.6836 5.6836
angles (deg): 79.28 68.44 68.44
Fractional coordinates of all 6 atoms:
Tb (0.0000, 0.0000, 0.0000)
Zr (0.5000, 0.5000, 0.5000)
Ga (0.2475, 0.4185, 0.0864)
Ga (0.2475, 0.0864, 0.4185)
Ga (0.7525, 0.5815, 0.9136)
Ga (0.7525, 0.9136, 0.5815)


*x*
Density functional theory data (PBE-GGA) for TbZrGa4 after structural relaxation.

## Properties
calculated volume: 118.5 Å³/f.u.
symmetry: I-4m2

a b c (Å): 4.0430 4.0430 7.7953
angles (deg): 105.03 105.03 90.00
Fractional coordinates of all 6 atoms:
Tb (0.2500, 0.7500, 0.5000)
Zr (0.0000, 0.0000, 0.0000)
Ga (0.6662, 0.1662, 0.3324)
Ga (0.5806, 0.5806, 0.1613)
Ga (0.8338, 0.3338, 0.6676)
Ga (0.4194, 0.4194, 0.8387)


Bottom line: *w*, by a margin of 1.1 kJ/mol of atoms.


*w*
Density functional theory data (PBE-GGA) for Ga5Tc after structural relaxation.

## Properties
calculated volume: 96.6 Å³/f.u.
symmetry: Cmmm

a b c (Å): 3.5817 4.2897 6.6416
angles (deg): 108.84 90.00 90.00
Fractional coordinates of all 6 atoms:
Tc (0.0000, 0.0000, 0.0000)
Ga (0.0000, 0.6563, 0.3127)
Ga (0.0000, 0.3437, 0.6873)
Ga (0.5000, 0.5000, 0.0000)
Ga (0.5000, 0.1659, 0.3317)
Ga (0.5000, 0.8341, 0.6683)


*x*
Density functional theory data (PBE-GGA) for Ga5Tc after structural relaxation.

## Properties
calculated volume: 105.7 Å³/f.u.
symmetry: I4/mcm

a b c (Å): 6.5200 6.5200 6.7825
angles (deg): 118.73 118.73 90.00
Fractional coordinates of all 12 atoms:
Ga (0.0000, 0.0000, 0.0000)
Ga (0.5000, 0.5000, 0.0000)
Ga (0.2970, 0.7970, 0.2943)
Ga (0.4973, 0.2970, 0.2943)
Ga (0.7970, 0.9973, 0.2943)
Ga (0.5027, 0.7030, 0.7057)
Ga (0.2030, 0.0027, 0.7057)
Ga (0.0027, 0.5027, 0.7057)
Ga (0.7030, 0.2030, 0.7057)
Ga (0.9973, 0.4973, 0.2943)
Tc (0.2500, 0.2500, 0.5000)
Tc (0.7500, 0.7500, 0.5000)


*y*
Density functional theory data (PBE-GGA) for Ga5Tc after structural relaxation.

## Properties
calculated volume: 96.7 Å³/f.u.
symmetry: P2_1/m

a b c (Å): 5.0791 5.4822 7.1714
angles (deg): 90.00 90.00 104.42
Fractional coordinates of all 12 atoms:
Ga (0.7251, 0.1924, 0.2500)
Ga (0.2749, 0.8076, 0.7500)
Ga (0.2499, 0.0609, 0.4379)
Ga (0.7501, 0.9391, 0.9379)
Ga (0.7501, 0.9391, 0.5621)
Ga (0.2499, 0.0609, 0.0621)
Ga (0.2724, 0.5635, 0.4290)
Ga (0.7276, 0.4365, 0.9290)
Ga (0.7276, 0.4365, 0.5710)
Ga (0.2724, 0.5635, 0.0710)
Tc (0.8617, 0.7089, 0.2500)
Tc (0.1383, 0.2911, 0.7500)


Bottom line: *x*, by a margin of 3.5 kJ/mol of atoms.


*w*
Density functional theory data (PBE-GGA) for GaTc5 after structural relaxation.

## Properties
calculated volume: 87.3 Å³/f.u.
symmetry: Cmmm

a b c (Å): 2.9679 4.3469 7.1081
angles (deg): 107.80 90.00 90.00
Fractional coordinates of all 6 atoms:
Tc (0.0000, 0.6810, 0.3619)
Tc (0.0000, 0.3190, 0.6381)
Tc (0.5000, 0.5000, 0.0000)
Tc (0.5000, 0.1544, 0.3088)
Tc (0.5000, 0.8456, 0.6912)
Ga (0.0000, 0.0000, 0.0000)


*x*
Density functional theory data (PBE-GGA) for GaTc5 after structural relaxation.

## Properties
calculated volume: 89.6 Å³/f.u.
symmetry: P2_12_12

a b c (Å): 4.9151 4.8934 7.4490
angles (deg): 90.00 90.00 90.00
Fractional coordinates of all 12 atoms:
Ga (0.5000, 0.0000, 0.9270)
Ga (0.0000, 0.5000, 0.0730)
Tc (0.3762, 0.7538, 0.2528)
Tc (0.8762, 0.7462, 0.7472)
Tc (0.1238, 0.2538, 0.7472)
Tc (0.6238, 0.2462, 0.2528)
Tc (0.3651, 0.7615, 0.5969)
Tc (0.8651, 0.7385, 0.4031)
Tc (0.1349, 0.2615, 0.4031)
Tc (0.6349, 0.2385, 0.5969)
Tc (0.5000, 0.5000, 0.9406)
Tc (0.0000, 0.0000, 0.0594)


Bottom line: *w*, by a margin of 10.7 kJ/mol of atoms.


*w*
Density functional theory data (PBE-GGA) for GaTc3Te after structural relaxation.

## Properties
calculated volume: 97.8 Å³/f.u.
symmetry: Pm-3m

a b c (Å): 4.6075 4.6075 4.6075
angles (deg): 90.00 90.00 90.00
Each line ends with the local moment (μB).
Fractional coordinates of all 5 atoms:
Te (0.5000, 0.5000, 0.5000)  -0.04
Tc (0.0000, 0.5000, 0.0000)  0.85
Tc (0.0000, 0.0000, 0.5000)  0.96
Tc (0.5000, 0.0000, 0.0000)  0.78
Ga (0.0000, 0.0000, 0.0000)  -0.03


*x*
Density functional theory data (PBE-GGA) for GaTc3Te after structural relaxation.

## Properties
calculated volume: 112.7 Å³/f.u.
symmetry: Pm-3m

a b c (Å): 4.8300 4.8300 4.8300
angles (deg): 90.00 90.00 90.00
Each line ends with the local moment (μB).
Fractional coordinates of all 5 atoms:
Te (0.0000, 0.0000, 0.0000)  -0.05
Tc (0.0000, 0.5000, 0.0000)  0.80
Tc (0.0000, 0.0000, 0.5000)  1.04
Tc (0.5000, 0.0000, 0.0000)  0.78
Ga (0.5000, 0.5000, 0.5000)  -0.06


Bottom line: *w*, by a margin of 32.1 kJ/mol of atoms.


*w*
Density functional theory data (PBE-GGA) for Th2Ga3Tc after structural relaxation.

## Properties
calculated volume: 133.3 Å³/f.u.
symmetry: Pmm2

a b c (Å): 3.8312 4.4583 7.8052
angles (deg): 90.00 90.00 90.00
Fractional coordinates of all 6 atoms:
Th (0.0000, 0.5000, 0.0266)
Th (0.0000, 0.0000, 0.4797)
Ga (0.5000, 0.0000, 0.8333)
Ga (0.5000, 0.0000, 0.1641)
Ga (0.5000, 0.5000, 0.6659)
Tc (0.5000, 0.5000, 0.3305)


*x*
Density functional theory data (PBE-GGA) for Th2Ga3Tc after structural relaxation.

## Properties
calculated volume: 129.6 Å³/f.u.
symmetry: Cm

a b c (Å): 4.4777 5.6860 5.9981
angles (deg): 76.81 68.08 66.81
Fractional coordinates of all 6 atoms:
Th (0.5522, 0.2092, 0.6864)
Th (0.4392, 0.8164, 0.3051)
Ga (0.8439, 0.6203, 0.6918)
Ga (0.8277, 0.2456, 0.0990)
Ga (0.1700, 0.7502, 0.9099)
Tc (0.1669, 0.3583, 0.3078)


Bottom line: *w*, by a margin of 1.3 kJ/mol of atoms.


*w*
Density functional theory data (PBE-GGA) for Th3GaTc2 after structural relaxation.

## Properties
calculated volume: 147.0 Å³/f.u.
symmetry: C2/m

a b c (Å): 4.6255 8.2793 8.3416
angles (deg): 106.03 106.10 90.00
Fractional coordinates of all 12 atoms:
Th (0.2391, 0.1895, 0.4781)
Th (0.0727, 0.7207, 0.1453)
Th (0.3880, 0.6249, 0.7760)
Th (0.7609, 0.8105, 0.5219)
Th (0.6120, 0.3751, 0.2240)
Th (0.9273, 0.2793, 0.8547)
Ga (0.4162, 0.0228, 0.8324)
Ga (0.5838, 0.9772, 0.1676)
Tc (0.1928, 0.5530, 0.3855)
Tc (0.8072, 0.4470, 0.6145)
Tc (0.9358, 0.8556, 0.8717)
Tc (0.0642, 0.1444, 0.1283)


*x*
Density functional theory data (PBE-GGA) for Th3GaTc2 after structural relaxation.

## Properties
calculated volume: 145.9 Å³/f.u.
symmetry: Pnma

a b c (Å): 4.0222 11.8455 12.2452
angles (deg): 90.00 90.00 90.00
Fractional coordinates of all 24 atoms:
Th (0.2500, 0.3696, 0.0668)
Th (0.7500, 0.6304, 0.9332)
Th (0.7500, 0.8696, 0.4332)
Th (0.2500, 0.1304, 0.5668)
Th (0.2500, 0.6659, 0.1956)
Th (0.7500, 0.3341, 0.8044)
Th (0.7500, 0.1659, 0.3044)
Th (0.2500, 0.8341, 0.6956)
Th (0.2500, 0.4137, 0.3719)
Th (0.7500, 0.5863, 0.6281)
Th (0.7500, 0.9137, 0.1281)
Th (0.2500, 0.0863, 0.8719)
Ga (0.2500, 0.1153, 0.1237)
Ga (0.7500, 0.8847, 0.8763)
Ga (0.7500, 0.6153, 0.3763)
Ga (0.2500, 0.3847, 0.6237)
Tc (0.2500, 0.6940, 0.4872)
Tc (0.7500, 0.3060, 0.5128)
Tc (0.7500, 0.1940, 0.0128)
Tc (0.2500, 0.8060, 0.9872)
Tc (0.2500, 0.9949, 0.3080)
Tc (0.7500, 0.0051, 0.6920)
Tc (0.7500, 0.4949, 0.1920)
Tc (0.2500, 0.5051, 0.8080)


Bottom line: *x*, by a margin of 4.4 kJ/mol of atoms.